(1)
# Ag3S

An optimized crystal structure of Ag3S (PBE-GGA, the Alexandria database).

The formation energy from raw total energies is 213.8 meV/atom. The value obtained for the total DFT energy (no corrections) is -11.8 eV/cell.

The space group is Pmm2 (No. 25) and the conventional cell measures 3.4223, 3.6583 and 6.4294 Å, with angles of 90.00, 90.00 and 90.00 degrees. The inequivalent atoms are Ag at (0.0000, 0.0000, 0.0000), Ag at (0.0000, 0.5000, 0.4146), Ag at (0.5000, 0.5000, 0.7832) and S at (0.5000, 0.0000, 0.3258).

***

(2)
# BeMo2WC

An optimized crystal structure of BeMo2WC (PBE-GGA, the Alexandria database).

The formation energy comes out at 2856 meV/atom. The value obtained for the total DFT energy (no corrections) is -33.3 eV/cell.

The space group is P4/mmm (No. 123) and the conventional cell measures 4.7209, 4.7209 and 4.2174 Å, with angles of 90.00, 90.00 and 90.00 degrees. The inequivalent atoms are Be at (0.0000, 0.0000, 0.0000), Mo at (0.0000, 0.5000, 0.5000), W at (0.0000, 0.0000, 0.5000) and C at (0.5000, 0.5000, 0.0000).

***

> Among the records above, which one has the highest total DFT energy (no corrections)?

Ag3S